First-principles (PBE) data for a geometry-optimized LuTlCuRh structure, as listed in Alexandria via LeMat-Bulk. Values from VASP.

Results
For the calculated total energy, the calculation gives -4.893 eV/atom. The space group is F-43m (216). For the energy relative to the elements, the calculation gives -1.24 eV per formula unit. Its volume is 18.44 Å³ per atom. The spin magnetization is 0.000 μB/atom.

The structure in Quantum ESPRESSO input format:
```
&SYSTEM
  ibrav = 0, nat = 4, ntyp = 4
/
ATOMIC_SPECIES
Tl 204.38 Tl.upf
Lu 174.97 Lu.upf
Rh 102.91 Rh.upf
Cu 63.55 Cu.upf
ATOMIC_POSITIONS crystal
Tl 0.500 0.500 0.500
Lu 0.000 0.000 0.000
Rh 0.250 0.250 0.250
Cu 0.750 0.750 0.750
CELL_PARAMETERS angstrom
-3.949 0.247 2.550
-0.208 -2.069 4.223
-0.121 2.627 3.904
```